[1]
# BaLiTe2Se4

A geometry-optimized BaLiTe2Se4 structure (PBE, Alexandria).

a b c (Å): 6.809 6.809 6.809
angles (deg): 113.72 113.72 101.28
Fractional coordinates of all 8 atoms:
1 Ba 0.000 0.000 0.000
2 Li 0.500 0.500 0.000
3 Te 0.250 0.750 0.500
4 Te 0.750 0.250 0.500
5 Se 0.131 0.551 0.000
6 Se 0.449 0.449 0.580
7 Se 0.551 0.131 0.000
8 Se 0.869 0.869 0.420

Summary:
The density of states at the Fermi level is 2.3 states/eV per cell. For the total DFT energy (no corrections), the calculation gives -3.746 eV per atom. As for the magnetic moment: 0.0 μB/cell. For the uncorrected formation energy, the calculation gives -5.908 eV per formula unit.



[2]
# Dy2Tm3Th3

A geometry-optimized Dy2Tm3Th3 structure (PBE, Alexandria).

a b c (Å): 9.013 9.013 3.595
angles (deg): 90.00 90.00 120.00
Fractional coordinates of all 8 atoms:
1 Dy 0.333 0.667 0.000
2 Dy 0.667 0.333 0.000
3 Tm 0.000 0.396 0.500
4 Tm 0.396 0.000 0.500
5 Tm 0.604 0.604 0.500
6 Th 0.000 0.771 0.000
7 Th 0.229 0.229 0.000
8 Th 0.771 0.000 0.000

Summary:
The value obtained for the calculated formation energy is 0.136 eV/atom. The density of states at the Fermi level is 10.7 states/eV per cell. For the total DFT energy (no corrections), the calculation gives -5.474 eV per atom. As for the magnetic moment: 0.0 μB/cell.



[3]
# TcWAu2

A geometry-optimized TcWAu2 structure (PBE, Alexandria).

a b c (Å): 4.541 4.541 4.541
angles (deg): 60.00 60.00 60.00
Fractional coordinates of all 4 atoms:
1 Tc 0.000 0.000 0.000
2 W 0.500 0.500 0.500
3 Au 0.250 0.250 0.250
4 Au 0.750 0.750 0.750

Summary:
The value obtained for the calculated formation energy is 0.693 eV/atom. The density of states at the Fermi level is 4.2 states/eV per cell. For the total DFT energy (no corrections), the calculation gives -6.775 eV per atom. As for the magnetic moment: 0.0 μB/cell.



[4]
# Ca2Re

A geometry-optimized Ca2Re structure (PBE, Alexandria).

a b c (Å): 5.043 5.043 5.043
angles (deg): 60.00 60.00 60.00
Fractional coordinates of all 3 atoms:
1 Ca 0.250 0.250 0.250
2 Ca 0.750 0.750 0.750
3 Re 0.000 0.000 0.000

Summary:
The value obtained for the calculated formation energy is 1.205 eV/atom. The density of states at the Fermi level is 5.5 states/eV per cell. For the total DFT energy (no corrections), the calculation gives -4.279 eV per atom. As for the magnetic moment: 1.9 μB/cell.



[5]
# HfInMo2Au

A geometry-optimized HfInMo2Au structure (PBE, Alexandria).

a b c (Å): 5.122 5.122 4.920
angles (deg): 90.00 90.00 90.00
Fractional coordinates of all 5 atoms:
1 Hf 0.000 0.000 0.000
2 In 0.500 0.500 0.000
3 Mo 0.000 0.500 0.500
4 Mo 0.500 0.000 0.500
5 Au 0.500 0.500 0.500

Summary:
The value obtained for the calculated formation energy is 1.655 eV/atom. The density of states at the Fermi level is 9.7 states/eV per cell. For the total DFT energy (no corrections), the calculation gives -5.871 eV per atom. As for the magnetic moment: 1.8 μB/cell.



[6]
# LiTl2HgPd

A geometry-optimized LiTl2HgPd structure (PBE, Alexandria).

a b c (Å): 5.342 5.342 4.803
angles (deg): 90.00 90.00 90.00
Fractional coordinates of all 5 atoms:
1 Li 0.000 0.000 0.000
2 Tl 0.000 0.500 0.500
3 Tl 0.500 0.000 0.500
4 Hg 0.500 0.500 0.000
5 Pd 0.000 0.000 0.500

Summary:
The value obtained for the calculated formation energy is -0.091 eV/atom. The density of states at the Fermi level is 2.1 states/eV per cell. For the total DFT energy (no corrections), the calculation gives -2.519 eV per atom. As for the magnetic moment: 0.0 μB/cell.



[7]
# AlRuS

A geometry-optimized AlRuS structure (PBE, Alexandria).

a b c (Å): 2.993 5.908 5.359
angles (deg): 90.00 90.00 90.00
Fractional coordinates of all 6 atoms:
1 Al 0.000 0.225 0.000
2 Al 0.000 0.775 0.500
3 Ru 0.500 0.125 0.376
4 Ru 0.500 0.875 0.876
5 S 0.000 0.354 0.578
6 S 0.000 0.646 0.078

Summary:
The density of states at the Fermi level is 3.6 states/eV per cell. For the total DFT energy (no corrections), the calculation gives -6.094 eV per atom. As for the magnetic moment: 0.0 μB/cell. For the uncorrected formation energy, the calculation gives -1.136 eV per formula unit.



[8]
# Fe3HgBr12

A geometry-optimized Fe3HgBr12 structure (PBE, Alexandria).

a b c (Å): 14.388 14.388 7.322
angles (deg): 90.00 90.00 120.00
Fractional coordinates of all 32 atoms:
1 Fe 0.132 0.705 0.250
2 Fe 0.295 0.427 0.250
3 Fe 0.427 0.132 0.750
4 Fe 0.573 0.868 0.250
5 Fe 0.705 0.573 0.750
6 Fe 0.868 0.295 0.750
7 Hg 0.333 0.667 0.750
8 Hg 0.667 0.333 0.250
9 Br 0.018 0.522 0.250
10 Br 0.045 0.801 0.250
11 Br 0.199 0.244 0.250
12 Br 0.234 0.479 0.512
13 Br 0.234 0.479 0.988
14 Br 0.244 0.045 0.750
15 Br 0.245 0.766 0.512
16 Br 0.245 0.766 0.988
17 Br 0.478 0.496 0.250
18 Br 0.479 0.245 0.012
19 Br 0.479 0.245 0.488
20 Br 0.496 0.018 0.750
21 Br 0.504 0.982 0.250
22 Br 0.521 0.755 0.512
23 Br 0.521 0.755 0.988
24 Br 0.522 0.504 0.750
25 Br 0.755 0.234 0.012
26 Br 0.755 0.234 0.488
27 Br 0.756 0.955 0.250
28 Br 0.766 0.521 0.012
29 Br 0.766 0.521 0.488
30 Br 0.801 0.756 0.750
31 Br 0.955 0.199 0.750
32 Br 0.982 0.478 0.750

Summary:
The density of states at the Fermi level is 24.1 states/eV per cell. For the total DFT energy (no corrections), the calculation gives -3.220 eV per atom. As for the magnetic moment: 28.0 μB/cell. For the uncorrected formation energy, the calculation gives -5.750 eV per formula unit.



[9]
# DyY4Ho2Er2

A geometry-optimized DyY4Ho2Er2 structure (PBE, Alexandria).

a b c (Å): 9.462 9.462 9.493
angles (deg): 115.29 115.29 21.78
Fractional coordinates of all 9 atoms:
1 Dy 0.000 0.000 0.000
2 Y 0.186 0.186 0.333
3 Y 0.481 0.481 0.666
4 Y 0.519 0.519 0.334
5 Y 0.814 0.814 0.667
6 Ho 0.149 0.149 0.668
7 Ho 0.851 0.851 0.332
8 Er 0.333 0.333 0.001
9 Er 0.667 0.667 0.999

Summary:
The value obtained for the calculated formation energy is 0.003 eV/atom. The density of states at the Fermi level is 12.5 states/eV per cell. For the total DFT energy (no corrections), the calculation gives -5.413 eV per atom. As for the magnetic moment: 0.0 μB/cell.



[10]
# Pu2ReSi2

A geometry-optimized Pu2ReSi2 structure (PBE, Alexandria).

a b c (Å): 5.608 5.608 5.608
angles (deg): 136.04 126.19 71.92
Fractional coordinates of all 5 atoms:
1 Pu 0.201 0.201 0.000
2 Pu 0.799 0.799 0.000
3 Re 0.500 0.000 0.500
4 Si 0.238 0.500 0.738
5 Si 0.762 0.500 0.262

Summary:
The density of states at the Fermi level is 14.8 states/eV per cell. For the total DFT energy (no corrections), the calculation gives -10.771 eV per atom. As for the magnetic moment: 10.0 μB/cell. For the uncorrected formation energy, the calculation gives -1.896 eV per formula unit.



[11]
# Pu2InB2Ir5

A geometry-optimized Pu2InB2Ir5 structure (PBE, Alexandria).

a b c (Å): 9.738 9.738 3.289
angles (deg): 90.00 90.00 90.00
Fractional coordinates of all 20 atoms:
1 Pu 0.178 0.322 0.000
2 Pu 0.322 0.822 0.000
3 Pu 0.678 0.178 0.000
4 Pu 0.822 0.678 0.000
5 In 0.000 0.000 0.000
6 In 0.500 0.500 0.000
7 B 0.120 0.620 0.000
8 B 0.380 0.120 0.000
9 B 0.620 0.880 0.000
10 B 0.880 0.380 0.000
11 Ir 0.000 0.500 0.500
12 Ir 0.070 0.772 0.500
13 Ir 0.228 0.070 0.500
14 Ir 0.272 0.570 0.500
15 Ir 0.430 0.272 0.500
16 Ir 0.500 0.000 0.500
17 Ir 0.570 0.728 0.500
18 Ir 0.728 0.430 0.500
19 Ir 0.772 0.930 0.500
20 Ir 0.930 0.228 0.500

Summary:
The value obtained for the calculated formation energy is -0.414 eV/atom. The density of states at the Fermi level is 46.8 states/eV per cell. For the total DFT energy (no corrections), the calculation gives -9.321 eV per atom. As for the magnetic moment: 18.6 μB/cell.



[12]
# VInTc2

A geometry-optimized VInTc2 structure (PBE, Alexandria).

a b c (Å): 9.592 9.592 9.592
angles (deg): 156.28 156.28 33.79
Fractional coordinates of all 8 atoms:
1 V 0.000 0.000 0.000
2 V 0.750 0.250 0.500
3 In 0.250 0.750 0.500
4 In 0.500 0.500 0.000
5 Tc 0.055 0.625 0.930
6 Tc 0.375 0.305 0.430
7 Tc 0.695 0.125 0.070
8 Tc 0.875 0.945 0.570

Summary:
The value obtained for the calculated formation energy is 0.698 eV/atom. The density of states at the Fermi level is 7.6 states/eV per cell. For the total DFT energy (no corrections), the calculation gives -7.450 eV per atom. As for the magnetic moment: 0.0 μB/cell.



[13]
# Ca3LaPr2Te6

A geometry-optimized Ca3LaPr2Te6 structure (PBE, Alexandria).

a b c (Å): 7.771 7.771 7.954
angles (deg): 99.39 99.39 119.94
Fractional coordinates of all 12 atoms:
1 Ca 0.000 0.000 0.000
2 Ca 0.333 0.667 0.000
3 Ca 0.667 0.333 0.000
4 La 0.500 0.500 0.500
5 Pr 0.166 0.834 0.500
6 Pr 0.834 0.166 0.500
7 Te 0.080 0.414 0.242
8 Te 0.252 0.252 0.758
9 Te 0.414 0.080 0.242
10 Te 0.586 0.920 0.758
11 Te 0.748 0.748 0.242
12 Te 0.920 0.586 0.758

Summary:
The density of states at the Fermi level is 5.6 states/eV per cell. For the total DFT energy (no corrections), the calculation gives -4.823 eV per atom. As for the magnetic moment: 0.0 μB/cell. For the uncorrected formation energy, the calculation gives -18.534 eV per formula unit.



[14]
# Tb4ThTl5

A geometry-optimized Tb4ThTl5 structure (PBE, Alexandria).

a b c (Å): 3.651 3.651 20.919
angles (deg): 90.00 90.00 90.00
Fractional coordinates of all 10 atoms:
1 Tb 0.000 0.000 0.099
2 Tb 0.000 0.000 0.296
3 Tb 0.000 0.000 0.704
4 Tb 0.000 0.000 0.901
5 Th 0.000 0.000 0.500
6 Tl 0.500 0.500 0.000
7 Tl 0.500 0.500 0.196
8 Tl 0.500 0.500 0.393
9 Tl 0.500 0.500 0.607
10 Tl 0.500 0.500 0.804

Summary:
The value obtained for the calculated formation energy is -0.311 eV/atom. The density of states at the Fermi level is 8.5 states/eV per cell. For the total DFT energy (no corrections), the calculation gives -4.088 eV per atom. As for the magnetic moment: 0.0 μB/cell.



[15]
# AlCr2W6

A geometry-optimized AlCr2W6 structure (PBE, Alexandria).

a b c (Å): 4.431 5.436 6.511
angles (deg): 82.37 70.20 89.90
Fractional coordinates of all 9 atoms:
1 Al 0.000 0.000 0.000
2 Cr 0.092 0.461 0.817
3 Cr 0.908 0.539 0.183
4 W 0.295 0.352 0.409
5 W 0.300 0.866 0.401
6 W 0.500 0.256 0.998
7 W 0.500 0.744 0.002
8 W 0.700 0.134 0.599
9 W 0.705 0.648 0.591

Summary:
The value obtained for the calculated formation energy is 0.422 eV/atom. The density of states at the Fermi level is 7.7 states/eV per cell. For the total DFT energy (no corrections), the calculation gives -10.768 eV per atom. As for the magnetic moment: 0.3 μB/cell.



[16]
# Sm4Cu3Si

A geometry-optimized Sm4Cu3Si structure (PBE, Alexandria).

a b c (Å): 4.095 4.250 10.643
angles (deg): 90.00 90.00 90.00
Fractional coordinates of all 8 atoms:
1 Sm 0.000 0.000 0.000
2 Sm 0.000 0.500 0.286
3 Sm 0.500 0.000 0.501
4 Sm 0.500 0.500 0.789
5 Cu 0.000 0.500 0.581
6 Cu 0.500 0.000 0.211
7 Cu 0.500 0.500 0.078
8 Si 0.000 0.000 0.715

Summary:
The density of states at the Fermi level is 8.5 states/eV per cell. For the total DFT energy (no corrections), the calculation gives -4.894 eV per atom. As for the magnetic moment: 0.0 μB/cell. For the uncorrected formation energy, the calculation gives -2.567 eV per formula unit.



[17]
# CaCe2SmBi4

A geometry-optimized CaCe2SmBi4 structure (PBE, Alexandria).

a b c (Å): 7.898 4.605 7.985
angles (deg): 90.00 109.58 90.00
Fractional coordinates of all 8 atoms:
1 Ca 0.000 0.000 0.000
2 Ce 0.500 0.000 0.500
3 Ce 0.500 0.500 0.000
4 Sm 0.000 0.500 0.500
5 Bi 0.252 0.000 0.749
6 Bi 0.255 0.500 0.254
7 Bi 0.745 0.500 0.746
8 Bi 0.748 0.000 0.251

Summary:
The value obtained for the calculated formation energy is -0.824 eV/atom. The density of states at the Fermi level is 8.8 states/eV per cell. For the total DFT energy (no corrections), the calculation gives -5.088 eV per atom. As for the magnetic moment: 1.0 μB/cell.



[18]
# SrBi2Se2

A geometry-optimized SrBi2Se2 structure (PBE, Alexandria).

a b c (Å): 6.429 6.429 6.429
angles (deg): 125.90 125.90 80.05
Fractional coordinates of all 5 atoms:
1 Sr 0.000 0.000 0.000
2 Bi 0.340 0.340 0.000
3 Bi 0.660 0.660 0.000
4 Se 0.250 0.750 0.500
5 Se 0.750 0.250 0.500

Summary:
The density of states at the Fermi level is 3.4 states/eV per cell. For the total DFT energy (no corrections), the calculation gives -3.715 eV per atom. As for the magnetic moment: 0.0 μB/cell. For the uncorrected formation energy, the calculation gives -2.160 eV per formula unit.



[19]
# Sc2AlCl

A geometry-optimized Sc2AlCl structure (PBE, Alexandria).

a b c (Å): 5.960 5.960 5.960
angles (deg): 141.00 141.00 56.34
Fractional coordinates of all 4 atoms:
1 Sc 0.000 0.000 0.000
2 Sc 0.750 0.250 0.500
3 Al 0.250 0.750 0.500
4 Cl 0.500 0.500 0.000

Summary:
The density of states at the Fermi level is 3.7 states/eV per cell. For the total DFT energy (no corrections), the calculation gives -4.876 eV per atom. As for the magnetic moment: 0.0 μB/cell. For the uncorrected formation energy, the calculation gives -1.252 eV per formula unit.



[20]
# AcTmTh2

A geometry-optimized AcTmTh2 structure (PBE, Alexandria).

a b c (Å): 5.126 5.126 5.229
angles (deg): 90.00 90.00 90.00
Fractional coordinates of all 4 atoms:
1 Ac 0.000 0.000 0.000
2 Tm 0.500 0.500 0.000
3 Th 0.000 0.500 0.500
4 Th 0.500 0.000 0.500

Summary:
The value obtained for the calculated formation energy is 0.134 eV/atom. The density of states at the Fermi level is 6.9 states/eV per cell. For the total DFT energy (no corrections), the calculation gives -5.721 eV per atom. As for the magnetic moment: 0.0 μB/cell.



[21]
# Rh2PbSe2

A geometry-optimized Rh2PbSe2 structure (PBE, Alexandria).

a b c (Å): 6.781 6.781 6.781
angles (deg): 144.76 144.76 50.70
Fractional coordinates of all 5 atoms:
1 Rh 0.250 0.750 0.500
2 Rh 0.750 0.250 0.500
3 Pb 0.000 0.000 0.000
4 Se 0.367 0.367 0.000
5 Se 0.633 0.633 0.000

Summary:
The density of states at the Fermi level is 4.8 states/eV per cell. For the total DFT energy (no corrections), the calculation gives -5.220 eV per atom. As for the magnetic moment: 0.0 μB/cell. For the uncorrected formation energy, the calculation gives -0.719 eV per formula unit.



[22]
# Cr2OsRu5

A geometry-optimized Cr2OsRu5 structure (PBE, Alexandria).

a b c (Å): 6.312 5.388 5.058
angles (deg): 74.27 55.25 50.48
Fractional coordinates of all 8 atoms:
1 Cr 0.249 0.751 0.249
2 Cr 0.751 0.249 0.751
3 Os 0.164 0.164 0.836
4 Ru 0.172 0.670 0.828
5 Ru 0.247 0.247 0.253
6 Ru 0.664 0.664 0.336
7 Ru 0.670 0.172 0.330
8 Ru 0.747 0.747 0.753

Summary:
The value obtained for the calculated formation energy is 0.012 eV/atom. The density of states at the Fermi level is 8.4 states/eV per cell. For the total DFT energy (no corrections), the calculation gives -9.594 eV per atom. As for the magnetic moment: 0.0 μB/cell.



[23]
# Tl2AgHgO

A geometry-optimized Tl2AgHgO structure (PBE, Alexandria).

a b c (Å): 5.854 5.854 4.018
angles (deg): 90.00 90.00 90.00
Fractional coordinates of all 5 atoms:
1 Tl 0.000 0.500 0.000
2 Tl 0.500 0.000 0.000
3 Ag 0.000 0.000 0.000
4 Hg 0.500 0.500 0.500
5 O 0.000 0.000 0.500

Summary:
The density of states at the Fermi level is 3.4 states/eV per cell. For the total DFT energy (no corrections), the calculation gives -2.525 eV per atom. As for the magnetic moment: 0.0 μB/cell. For the uncorrected formation energy, the calculation gives 0.219 eV per formula unit.